Entry 1:
{"formula": "Ca2Cd2Ag", "functional": "PBE-GGA", "state": "relaxed", "formation_enthalpy_0k_ev_per_atom": -0.244, "polymorph_energy_mev_per_atom": 69, "spacegroup": "No. 127", "cell": [[-4.571, 2.810, 5.512], [1.553, -6.114, 4.404], [3.616, 2.252, 1.851]], "species": ["Ag", "Cd", "Cd", "Ca", "Cd", "Ag", "Ca", "Cd", "Ca", "Ca"], "frac_coords": [[0.500, 0.500, 0.000], [0.366, 0.866, 0.000], [0.866, 0.634, 0.000], [0.672, 0.828, 0.500], [0.134, 0.366, 0.000], [0.000, 0.000, 0.000], [0.328, 0.172, 0.500], [0.634, 0.134, 0.000], [0.172, 0.672, 0.500], [0.828, 0.328, 0.500]]}

---

Entry 2:
{"formula": "Ca2Cd2Ag", "functional": "PBE-GGA", "state": "relaxed", "formation_enthalpy_0k_ev_per_atom": -0.067, "polymorph_energy_mev_per_atom": 246, "spacegroup": "No. 127", "cell": [[-2.817, 7.740, 1.116], [0.977, -0.828, 8.213], [4.016, 1.509, -0.326]], "species": ["Ca", "Ca", "Ca", "Cd", "Cd", "Cd", "Ag", "Ca", "Ag", "Cd"], "frac_coords": [[0.836, 0.664, 0.000], [0.336, 0.836, 0.000], [0.664, 0.164, 0.000], [0.366, 0.134, 0.500], [0.134, 0.634, 0.500], [0.634, 0.866, 0.500], [0.000, 0.000, 0.000], [0.164, 0.336, 0.000], [0.500, 0.500, 0.000], [0.866, 0.366, 0.500]]}

---

Entry 3:
{"formula": "Ca3Cd4Ag8", "functional": "PBE-GGA", "state": "relaxed", "formation_enthalpy_0k_ev_per_atom": -0.210, "spacegroup": "No. 225", "cell": [[3.626, 7.578, 5.001], [6.164, -1.546, 7.429], [9.438, 2.386, -0.902]], "species": ["Ag", "Cd", "Ca", "Ca", "Cd", "Cd", "Cd", "Cd", "Ag", "Ag", "Ag", "Ca", "Ag", "Ag", "Cd", "Ag", "Cd", "Ag", "Ag", "Ag", "Cd", "Ca", "Ca", "Ag", "Ag", "Ag", "Ag", "Ca", "Ag", "Ag"], "frac_coords": [[0.669, 0.669, 0.669], [0.000, 0.500, 0.000], [0.274, 0.274, 0.726], [0.274, 0.726, 0.274], [0.000, 0.000, 0.000], [0.000, 0.000, 0.500], [0.500, 0.000, 0.000], [0.500, 0.500, 0.500], [0.878, 0.878, 0.878], [0.366, 0.878, 0.878], [0.331, 0.331, 0.331], [0.726, 0.726, 0.274], [0.122, 0.122, 0.634], [0.669, 0.669, 0.992], [0.000, 0.500, 0.500], [0.331, 0.331, 0.008], [0.500, 0.500, 0.000], [0.878, 0.366, 0.878], [0.122, 0.634, 0.122], [0.878, 0.878, 0.366], [0.500, 0.000, 0.500], [0.726, 0.274, 0.726], [0.726, 0.274, 0.274], [0.331, 0.008, 0.331], [0.122, 0.122, 0.122], [0.634, 0.122, 0.122], [0.992, 0.669, 0.669], [0.274, 0.726, 0.726], [0.669, 0.992, 0.669], [0.008, 0.331, 0.331]]}

---

Entry 4:
{"formula": "Ca2CdAg3", "functional": "PBE-GGA", "state": "relaxed", "formation_enthalpy_0k_ev_per_atom": -0.302, "polymorph_energy_mev_per_atom": 0, "spacegroup": "No. 8", "cell": [[4.461, 0.000, 1.868], [1.963, 5.535, 1.573], [0.123, 0.017, 5.966]], "species": ["Cd", "Ca", "Ag", "Ag", "Ca", "Ag"], "frac_coords": [[0.165, 0.390, 0.281], [0.455, 0.795, 0.296], [0.835, 0.612, 0.717], [0.162, 0.795, 0.880], [0.546, 0.201, 0.708], [0.837, 0.207, 0.118]]}